Record 1
CeTlZn | the Alexandria database | PBE-GGA | optimized geometry; formation enthalpy at 0 K = -17.4 kJ/mol of atoms
1.0
-0.604 1.157 -4.648
-0.946 -3.449 -3.243
-4.380 -0.288 -2.009
Tl Ce Zn
1 1 1
Cartesian
0.000 0.000 0.000 Tl
-2.965 -1.290 -4.950 Ce
-1.483 -0.645 -2.475 Zn



Record 2
Ce2TlZn2 | the Alexandria database | PBE-GGA | optimized geometry; formation enthalpy at 0 K = -17.7 kJ/mol of atoms
1.0
5.637 0.000 1.703
2.457 5.053 2.047
0.365 1.096 8.974
Zn Tl Ce
4 2 4
Cartesian
6.152 4.540 7.267 Zn
2.307 1.609 5.457 Zn
7.378 3.588 3.209 Zn
1.082 2.562 9.515 Zn
5.578 2.085 8.659 Tl
2.881 4.064 4.065 Tl
3.187 0.906 2.430 Ce
3.049 3.981 7.472 Ce
5.410 2.168 5.252 Ce
5.272 5.243 10.295 Ce



Record 3
Ce4TlZn | the Alexandria database | PBE-GGA | optimized geometry; formation enthalpy at 0 K = -8.5 kJ/mol of atoms
1.0
4.793 0.003 1.763
2.615 5.494 0.279
0.575 -1.648 5.836
Ce Tl Zn
4 1 1
Cartesian
2.366 2.164 0.961 Ce
6.325 4.165 4.987 Ce
1.657 -0.316 2.891 Ce
5.616 1.685 6.917 Ce
3.991 1.925 3.939 Tl
4.792 0.003 1.763 Zn



Record 4
Ce3Tl2Zn | the Alexandria database | PBE-GGA | optimized geometry; formation enthalpy at 0 K = -20.6 kJ/mol of atoms
1.0
3.362 0.000 0.000
0.000 3.362 0.000
0.000 0.000 13.883
Tl Ce Zn
2 3 1
Cartesian
1.681 1.681 11.455 Tl
1.681 1.681 2.427 Tl
0.000 0.000 4.879 Ce
0.000 0.000 0.000 Ce
0.000 0.000 9.003 Ce
1.681 1.681 6.941 Zn



Record 5
Ce6TlZn2 | the Alexandria database | PBE-GGA | optimized geometry; formation enthalpy at 0 K = -5.6 kJ/mol of atoms
1.0
4.602 0.001 1.265
1.068 4.693 5.112
-0.901 1.743 12.276
Tl Ce Zn
1 6 2
Cartesian
0.000 0.000 0.000 Tl
1.064 1.162 5.129 Ce
1.149 3.963 13.820 Ce
3.704 5.275 13.525 Ce
2.042 2.051 10.572 Ce
2.726 4.386 8.082 Ce
3.620 2.474 4.834 Ce
0.314 2.335 7.856 Zn
4.454 4.102 10.798 Zn



Record 6
Ce6Tl5Zn | the Alexandria database | PBE-GGA | optimized geometry; formation enthalpy at 0 K = -21.4 kJ/mol of atoms
1.0
-3.960 -2.581 -1.058
5.348 -7.402 -1.962
-2.424 -3.447 6.394
Ce Tl Zn
6 5 1
Cartesian
-0.969 -4.565 3.680 Ce
2.076 -6.905 -2.017 Ce
1.756 -8.337 2.680 Ce
-2.793 -5.092 0.694 Ce
-3.113 -6.525 5.391 Ce
-0.068 -8.864 -0.306 Ce
-1.581 -7.714 2.559 Tl
2.674 -3.701 -0.981 Tl
1.091 -11.425 1.611 Tl
-2.128 -2.005 1.762 Tl
0.544 -5.716 0.814 Tl
0.000 0.000 0.000 Zn



Record 7
Ce4TlZn | the Alexandria database | PBE-GGA | optimized geometry; formation enthalpy at 0 K = 1.8 kJ/mol of atoms
1.0
-1.090 1.097 2.774
-1.193 -5.654 1.767
8.254 1.722 0.748
Tl Ce Zn
1 4 1
Cartesian
2.332 0.407 2.878 Tl
5.674 1.204 2.059 Ce
-0.691 -2.230 2.732 Ce
5.025 -1.873 3.021 Ce
2.117 -2.955 2.305 Ce
0.497 0.046 0.481 Zn



Record 8
CeTl2Zn | the Alexandria database | PBE-GGA | optimized geometry; formation enthalpy at 0 K = -15.5 kJ/mol of atoms
1.0
-4.572 0.038 0.976
0.755 -2.838 3.647
0.622 3.725 2.769
Tl Zn Ce
2 1 1
Cartesian
0.311 1.862 1.385 Tl
0.377 -1.419 1.824 Tl
-2.286 0.019 0.488 Zn
-1.598 0.462 3.696 Ce



Record 9
CeTlZn | the Alexandria database | PBE-GGA | optimized geometry; formation enthalpy at 0 K = -21.0 kJ/mol of atoms
1.0
-0.591 -3.369 3.362
-1.994 -5.305 -2.248
5.199 -2.789 1.539
Tl Ce Zn
2 2 2
Cartesian
3.036 -3.986 0.314 Tl
0.454 -4.889 -1.045 Tl
0.591 -5.054 2.237 Ce
2.476 -7.400 0.214 Ce
-0.816 -7.270 -0.233 Zn
4.160 -5.529 2.386 Zn



Record 10
Ce3TlZn2 | the Alexandria database | PBE-GGA | optimized geometry; formation enthalpy at 0 K = -19.3 kJ/mol of atoms
1.0
-1.969 -2.104 -1.521
-0.944 -1.198 2.880
-10.079 9.085 0.476
Zn Tl Ce
2 1 3
Cartesian
-3.054 -0.211 0.755 Zn
-9.937 5.994 1.080 Zn
-6.496 2.892 0.917 Tl
-6.911 6.230 0.327 Ce
-3.167 2.855 0.150 Ce
0.000 0.000 0.000 Ce